An optimized crystal structure of HfTa3Mn4. Source: Alexandria, functional PBE.

```
HfTa3Mn4
1.0
3.080 0.000 0.000
0.000 3.080 0.000
0.000 0.000 12.367
Hf Ta Mn
1 3 4
direct
0.000 0.000 0.000 Hf
0.000 0.000 0.252 Ta
0.000 0.000 0.500 Ta
0.000 0.000 0.748 Ta
0.500 0.500 0.133 Mn
0.500 0.500 0.378 Mn
0.500 0.500 0.622 Mn
0.500 0.500 0.867 Mn
```

E_form: -0.228 eV/atom
space-group type: P4/mmm
ρ: 13.3 g/cm³
energy: -10.501 eV per atom